P | Below is a geometry-optimized KMgRe3 structure, with properties calculated at the PBE-GGA level.

abc: 4.7346 4.7346 4.7346
angles: 90.00 90.00 90.00
Space group Pm-3m (No. 221)
Inequivalent atoms, fractional coordinates:
K (0.0000, 0.0000, 0.0000) [1 per cell]
Mg (0.5000, 0.5000, 0.5000) [1 per cell]
Re (0.0000, 0.5000, 0.5000) [3 per cell]

Calculated values
DOS(E_F): 2.02 states/eV per atom

***

Q | Below is a geometry-optimized KMgRe3 structure, with properties calculated at the PBE-GGA level.

abc: 4.5947 4.5947 4.5947
angles: 90.00 90.00 90.00
Space group Pm-3m (No. 221)
Inequivalent atoms, fractional coordinates:
K (0.0000, 0.0000, 0.0000) [1 per cell]
Mg (0.5000, 0.5000, 0.5000) [1 per cell]
Re (0.0000, 0.0000, 0.5000) [3 per cell]

Calculated values
DOS(E_F): 1.48 states/eV per atom

***

Which one sits at the top of the stability order? P does.

***

P | Below is a geometry-optimized KMgRh structure, with properties calculated at the PBE-GGA level.

abc: 6.7858 6.7858 6.7858
angles: 90.00 90.00 90.00
Space group F-43m (No. 216)
Inequivalent atoms, fractional coordinates:
K (0.0000, 0.0000, 0.0000) [4 per cell]
Mg (0.0000, 0.0000, 0.5000) [4 per cell]
Rh (0.2500, 0.2500, 0.7500) [4 per cell]

Calculated values
DOS(E_F): 0.06 states/eV per atom

***

Q | Below is a geometry-optimized KMgRh structure, with properties calculated at the PBE-GGA level.

abc: 6.8715 6.8715 6.8715
angles: 90.00 90.00 90.00
Space group F-43m (No. 216)
Inequivalent atoms, fractional coordinates:
K (0.0000, 0.0000, 0.0000) [4 per cell]
Mg (0.2500, 0.2500, 0.7500) [4 per cell]
Rh (0.2500, 0.2500, 0.2500) [4 per cell]

Calculated values
DOS(E_F): 0.56 states/eV per atom

***

Which one sits at the top of the stability order? P does.

***

P | Below is a geometry-optimized KMgRh3 structure, with properties calculated at the PBE-GGA level.

abc: 4.7397 4.7397 4.7397
angles: 90.00 90.00 90.00
Space group Pm-3m (No. 221)
Inequivalent atoms, fractional coordinates:
K (0.0000, 0.0000, 0.0000) [1 per cell]
Mg (0.5000, 0.5000, 0.5000) [1 per cell]
Rh (0.0000, 0.0000, 0.5000) [3 per cell]

Calculated values
DOS(E_F): 1.03 states/eV per atom

***

Q | Below is a geometry-optimized KMgRh3 structure, with properties calculated at the PBE-GGA level.

abc: 4.7791 4.7791 4.7791
angles: 90.00 90.00 90.00
Space group Pm-3m (No. 221)
Inequivalent atoms, fractional coordinates:
K (0.0000, 0.0000, 0.0000) [1 per cell]
Mg (0.5000, 0.5000, 0.5000) [1 per cell]
Rh (0.0000, 0.5000, 0.5000) [3 per cell]

Calculated values
DOS(E_F): 1.78 states/eV per atom

***

Which one sits at the top of the stability order? Q does.

***

P | Below is a geometry-optimized KMg2Ru structure, with properties calculated at the PBE-GGA level.

abc: 7.3206 7.3333 3.1460
angles: 90.00 90.00 90.00
Space group Cmmm (No. 65)
Inequivalent atoms, fractional coordinates:
K (0.0000, 0.0000, 0.0000) [2 per cell]
Mg (0.2500, 0.2500, 0.5000) [4 per cell]
Ru (0.0000, 0.5000, 0.0000) [2 per cell]

Calculated values
DOS(E_F): 0.45 states/eV per atom

***

Q | Below is a geometry-optimized KMg2Ru structure, with properties calculated at the PBE-GGA level.

abc: 3.3298 3.3298 8.9308
angles: 90.00 90.00 90.00
Space group P4/mmm (No. 123)
Inequivalent atoms, fractional coordinates:
K (0.0000, 0.0000, 0.0000) [1 per cell]
Mg (0.5000, 0.5000, 0.3442) [2 per cell]
Ru (0.0000, 0.0000, 0.5000) [1 per cell]

Calculated values
DOS(E_F): 1.06 states/eV per atom

***

Which one sits at the top of the stability order? Q does.

***

P | Below is a geometry-optimized KMg2Ru structure, with properties calculated at the PBE-GGA level.

abc: 5.8143 5.8143 16.9167
angles: 90.00 90.00 90.00
Space group I-42d (No. 122)
Inequivalent atoms, fractional coordinates:
K (0.0000, 0.0000, 0.0000) [4 per cell]
Mg (0.0022, 0.2500, 0.6250) [8 per cell]
Ru (0.0000, 0.0000, 0.5000) [4 per cell]

Calculated values
DOS(E_F): 0.83 states/eV per atom

***

Q | Below is a geometry-optimized KMg2Ru structure, with properties calculated at the PBE-GGA level.

abc: 3.0420 5.8328 11.2088
angles: 90.00 90.00 90.00
Space group Immm (No. 71)
Inequivalent atoms, fractional coordinates:
K (0.0000, 0.0000, 0.0000) [2 per cell]
Mg (0.0000, 0.5000, 0.1945) [4 per cell]
Ru (0.0000, 0.0000, 0.5000) [2 per cell]

Calculated values
DOS(E_F): 0.77 states/eV per atom

***

R | Below is a geometry-optimized KMg2Ru structure, with properties calculated at the PBE-GGA level.

abc: 9.4120 3.0097 7.8301
angles: 90.00 95.37 90.00
Space group Cm (No. 8)
Inequivalent atoms, fractional coordinates:
K (0.0000, 0.0000, 0.0000) [2 per cell]
Mg (0.2274, 0.0000, 0.6130) [2 per cell]
Mg (0.4760, 0.0000, 0.4058) [2 per cell]
Ru (0.2416, 0.5000, 0.3347) [2 per cell]

Calculated values
DOS(E_F): 0.94 states/eV per atom

***

S | Below is a geometry-optimized KMg2Ru structure, with properties calculated at the PBE-GGA level.

abc: 7.0596 7.0596 7.0596
angles: 90.00 90.00 90.00
Space group F-43m (No. 216)
Inequivalent atoms, fractional coordinates:
K (0.0000, 0.0000, 0.0000) [4 per cell]
Mg (0.0000, 0.0000, 0.5000) [4 per cell]
Mg (0.2500, 0.2500, 0.2500) [4 per cell]
Ru (0.2500, 0.2500, 0.7500) [4 per cell]

Calculated values
DOS(E_F): 0.80 states/eV per atom

***

Which one sits at the top of the stability order? R does.

***

P | Below is a geometry-optimized KMg2Ru structure, with properties calculated at the PBE-GGA level.

abc: 2.9180 4.2814 8.2965
angles: 90.00 90.00 90.00
Space group Pmm2 (No. 25)
Inequivalent atoms, fractional coordinates:
K (0.0000, 0.0000, 0.0000) [1 per cell]
Mg (0.0000, 0.0000, 0.5945) [1 per cell]
Mg (0.5000, 0.5000, 0.3732) [1 per cell]
Ru (0.5000, 0.5000, 0.6882) [1 per cell]

Calculated values
DOS(E_F): 0.88 states/eV per atom

***

Q | Below is a geometry-optimized KMg2Ru structure, with properties calculated at the PBE-GGA level.

abc: 3.1333 3.1333 31.9987
angles: 90.00 90.00 120.00
Space group R-3m (No. 166, hexagonal axes)
Inequivalent atoms, fractional coordinates:
K (0.0000, 0.0000, 0.0000) [3 per cell]
Mg (0.0000, 0.0000, 0.2301) [6 per cell]
Ru (0.0000, 0.0000, 0.5000) [3 per cell]

Calculated values
DOS(E_F): 1.04 states/eV per atom

***

R | Below is a geometry-optimized KMg2Ru structure, with properties calculated at the PBE-GGA level.

abc: 3.0014 4.5223 16.4822
angles: 90.00 90.00 90.00
Space group Imm2 (No. 44)
Inequivalent atoms, fractional coordinates:
K (0.0000, 0.0000, 0.0000) [2 per cell]
Mg (0.0000, 0.0000, 0.3171) [2 per cell]
Mg (0.0000, 0.5000, 0.1831) [2 per cell]
Ru (0.0000, 0.5000, 0.6848) [2 per cell]

Calculated values
DOS(E_F): 0.81 states/eV per atom

***

S | Below is a geometry-optimized KMg2Ru structure, with properties calculated at the PBE-GGA level.

abc: 7.0022 7.0022 7.0022
angles: 90.00 90.00 90.00
Space group Fm-3m (No. 225)
Inequivalent atoms, fractional coordinates:
K (0.0000, 0.0000, 0.0000) [4 per cell]
Mg (0.2500, 0.2500, 0.2500) [8 per cell]
Ru (0.0000, 0.0000, 0.5000) [4 per cell]

Calculated values
DOS(E_F): 1.09 states/eV per atom

***

Which one sits at the top of the stability order? R does.

***

P | Below is a geometry-optimized KMg2Ru structure, with properties calculated at the PBE-GGA level.

abc: 3.5476 3.5476 8.3744
angles: 90.00 90.00 90.00
Space group P4mm (No. 99)
Inequivalent atoms, fractional coordinates:
K (0.0000, 0.0000, 0.0000) [1 per cell]
Mg (0.0000, 0.0000, 0.6022) [1 per cell]
Mg (0.5000, 0.5000, 0.3800) [1 per cell]
Ru (0.5000, 0.5000, 0.6928) [1 per cell]

Calculated values
DOS(E_F): 1.16 states/eV per atom

***

Q | Below is a geometry-optimized KMg2Ru structure, with properties calculated at the PBE-GGA level.

abc: 4.3804 4.3804 9.2300
angles: 90.00 90.00 90.00
Space group I-4m2 (No. 119)
Inequivalent atoms, fractional coordinates:
K (0.0000, 0.0000, 0.0000) [2 per cell]
Mg (0.0000, 0.0000, 0.5000) [2 per cell]
Mg (0.0000, 0.5000, 0.7500) [2 per cell]
Ru (0.0000, 0.5000, 0.2500) [2 per cell]

Calculated values
DOS(E_F): 0.43 states/eV per atom

***

Which one sits at the top of the stability order? P does.

***

P | Below is a geometry-optimized K2MgSb2 structure, with properties calculated at the PBE-GGA level.

abc: 7.6999 7.6999 5.7422
angles: 90.00 90.00 90.00
Space group P4/mbm (No. 127)
Inequivalent atoms, fractional coordinates:
K (0.1656, 0.3344, 0.0000) [4 per cell]
Mg (0.0000, 0.0000, 0.5000) [2 per cell]
Sb (0.1358, 0.6358, 0.5000) [4 per cell]

Calculated values
DOS(E_F): 0.09 states/eV per atom

***

Q | Below is a geometry-optimized K2MgSb2 structure, with properties calculated at the PBE-GGA level.

abc: 4.8326 4.8326 15.1735
angles: 90.00 90.00 90.00
Space group I4/mmm (No. 139)
Inequivalent atoms, fractional coordinates:
K (0.0000, 0.5000, 0.2500) [4 per cell]
Mg (0.0000, 0.0000, 0.0000) [2 per cell]
Sb (0.0000, 0.0000, 0.4096) [4 per cell]

Calculated values
DOS(E_F): 0.65 states/eV per atom

***

Which one sits at the top of the stability order? P does.